[1]
# NdY5Bi4

An optimized crystal structure of NdY5Bi4 (GGA-PBE, the Alexandria database).

Values from the calculation:
- magnetization (μB/cell) = 0.00
- formation enthalpy at 0 K (eV/atom) = -0.52
- N(E_F) (states/eV per cell) = 6.59
- symmetry = C2/m

The structure in extended XYZ format:
```
10
Lattice="4.454 0.000 0.000 0.000 8.543 -0.757 -2.227 -2.011 9.370" Properties=species:S:1:pos:R:3 pbc="T T T"
Nd 2.227 0.000 0.000
Y 2.227 4.283 5.443
Y 2.227 0.226 6.244
Y 0.000 6.306 2.369
Y 2.227 4.271 -0.379
Y 0.000 2.249 3.170
Bi 0.000 6.508 5.440
Bi 2.227 4.293 8.556
Bi 2.227 0.023 3.173
Bi 0.000 2.239 0.057
```

---

[2]
# NpNi4SbP2

An optimized crystal structure of NpNi4SbP2 (GGA-PBE, the Alexandria database).

Values from the calculation:
- magnetization (μB/cell) = 3.54
- N(E_F) (states/eV per cell) = 11.69
- symmetry = P4/mmm
- formation energy without anion corrections (eV/atom) = -0.49

The structure in extended XYZ format:
```
8
Lattice="3.787 0.000 0.000 0.000 3.787 0.000 0.000 0.000 8.355" Properties=species:S:1:pos:R:3 pbc="T T T"
Np 0.000 0.000 4.177
Ni 0.000 1.893 1.792
Ni 1.893 0.000 6.563
Ni 1.893 0.000 1.792
Ni 0.000 1.893 6.563
Sb 0.000 0.000 0.000
P 1.893 1.893 2.995
P 1.893 1.893 5.360
```

---

[3]
# Ho2RhS

An optimized crystal structure of Ho2RhS (GGA-PBE, the Alexandria database).

Values from the calculation:
- magnetization (μB/cell) = 0.00
- E above lowest polymorph (eV per formula unit) = 0.67
- N(E_F) (states/eV per cell) = 2.40
- symmetry = R3m
- formation energy without anion corrections (eV/atom) = -1.24

The structure in extended XYZ format:
```
4
Lattice="3.756 0.000 0.000 1.878 3.253 0.000 1.877 1.084 7.210" Properties=species:S:1:pos:R:3 pbc="T T T"
Ho 1.877 1.084 5.418
Ho 1.878 1.084 1.804
Rh 3.755 2.168 3.606
S 5.633 3.252 7.197
```

---

[4]
# Li3Ag2Pd6

An optimized crystal structure of Li3Ag2Pd6 (GGA-PBE, the Alexandria database).

Values from the calculation:
- magnetization (μB/cell) = 0.00
- formation enthalpy at 0 K (eV/atom) = -0.20
- N(E_F) (states/eV per cell) = 4.43
- symmetry = P-1

The structure in extended XYZ format:
```
11
Lattice="5.813 -0.307 3.722 -0.063 4.860 1.804 8.037 3.418 12.539" Properties=species:S:1:pos:R:3 pbc="T T T"
Li 0.000 0.000 0.000
Li 6.416 4.094 7.834
Li 7.370 3.877 10.231
Ag 8.222 2.075 8.045
Ag 5.564 5.897 10.020
Pd 7.253 6.042 12.351
Pd 10.505 3.034 13.127
Pd 6.533 1.930 5.714
Pd 3.281 4.937 4.938
Pd 4.023 5.375 7.593
Pd 9.763 2.597 10.472
```

---

[5]
# BeInSi

An optimized crystal structure of BeInSi (GGA-PBE, the Alexandria database).

Values from the calculation:
- magnetization (μB/cell) = 0.00
- N(E_F) (states/eV per cell) = 1.20
- symmetry = Imm2
- formation energy without anion corrections (eV/atom) = 0.47

The structure in extended XYZ format:
```
3
Lattice="-2.828 -3.473 3.511 1.205 -5.133 2.141 1.308 5.462 -0.920" Properties=species:S:1:pos:R:3 pbc="T T T"
Be -0.087 -0.460 0.302
Si -0.996 -5.282 3.469
In -0.540 -2.864 1.881
```

---

[6]
# NbCdSn2Hg

An optimized crystal structure of NbCdSn2Hg (GGA-PBE, the Alexandria database).

Values from the calculation:
- magnetization (μB/cell) = 2.92
- formation enthalpy at 0 K (eV/atom) = 1.11
- N(E_F) (states/eV per cell) = 6.37
- symmetry = P4/mmm

The structure in extended XYZ format:
```
5
Lattice="5.376 0.000 0.000 0.000 5.483 0.000 0.000 0.000 5.376" Properties=species:S:1:pos:R:3 pbc="T T T"
Nb 0.000 2.742 0.000
Cd 0.000 0.000 0.000
Hg 2.688 2.742 2.688
Sn 0.000 0.000 2.688
Sn 2.688 0.000 0.000
```

---

[7]
# Sr2RhCSe

An optimized crystal structure of Sr2RhCSe (GGA-PBE, the Alexandria database).

Values from the calculation:
- magnetization (μB/cell) = 0.00
- N(E_F) (states/eV per cell) = 3.66
- symmetry = P4/mmm
- formation energy without anion corrections (eV/atom) = -0.63

The structure in extended XYZ format:
```
5
Lattice="5.487 0.000 0.000 0.000 5.487 0.000 0.000 0.000 3.875" Properties=species:S:1:pos:R:3 pbc="T T T"
Sr 0.000 2.743 0.000
Sr 2.743 0.000 0.000
C 0.000 0.000 0.000
Rh 0.000 0.000 1.937
Se 2.743 2.743 1.937
```

---

[8]
# Tm6TaO12

An optimized crystal structure of Tm6TaO12 (GGA-PBE, the Alexandria database).

Values from the calculation:
- magnetization (μB/cell) = 1.13
- N(E_F) (states/eV per cell) = 6.88
- symmetry = R-3
- formation energy without anion corrections (eV/atom) = -3.44

The structure in extended XYZ format:
```
19
Lattice="6.389 -0.007 -0.008 -0.975 6.314 -0.008 -0.975 -1.136 6.211" Properties=species:S:1:pos:R:3 pbc="T T T"
Tm 3.226 4.988 2.404
Tm 3.470 1.759 0.857
Tm -0.003 3.511 1.884
Tm 1.212 0.183 3.791
Tm 0.968 3.412 5.337
Tm 4.441 1.660 4.311
Ta 0.000 0.000 0.000
O 4.295 3.092 2.564
O 1.296 4.544 3.501
O 2.406 1.681 5.096
O 0.144 2.078 3.630
O 3.142 0.627 2.694
O 2.033 3.490 1.098
O -0.752 5.691 1.895
O -1.301 3.328 5.738
O 3.487 5.785 0.256
O 5.190 -0.521 4.300
O 5.740 1.843 0.457
O 0.952 -0.615 5.938
```

---

[9]
# Nd8Os2Au

An optimized crystal structure of Nd8Os2Au (GGA-PBE, the Alexandria database).

Values from the calculation:
- magnetization (μB/cell) = 0.00
- formation enthalpy at 0 K (eV/atom) = -0.12
- N(E_F) (states/eV per cell) = 12.97
- symmetry = Cm

The structure in extended XYZ format:
```
11
Lattice="6.130 0.117 -0.993 -1.946 6.979 -2.942 -0.067 -0.119 7.818" Properties=species:S:1:pos:R:3 pbc="T T T"
Nd 2.911 2.474 -0.977
Nd 3.412 0.583 1.890
Nd 0.386 2.585 1.637
Nd 5.569 1.598 4.421
Nd 4.535 5.505 -1.501
Nd 3.543 4.440 2.310
Nd 0.518 6.450 2.059
Nd 1.020 4.555 4.932
Os 1.596 4.860 -0.069
Os 2.310 2.163 4.020
Au 0.845 0.023 -0.132
```

---

[10]
# Ta2Cr3Ge

An optimized crystal structure of Ta2Cr3Ge (GGA-PBE, the Alexandria database).

Values from the calculation:
- magnetization (μB/cell) = 0.00
- formation enthalpy at 0 K (eV/atom) = -0.24
- N(E_F) (states/eV per cell) = 2.52
- symmetry = R-3m

The structure in extended XYZ format:
```
6
Lattice="4.315 -0.131 -2.269 -2.743 4.026 -0.205 -0.129 0.170 4.990" Properties=species:S:1:pos:R:3 pbc="T T T"
Ta 2.206 1.446 -1.126
Ta -0.764 2.620 3.642
Cr 0.721 2.033 1.258
Cr -0.065 0.085 2.495
Cr 2.093 0.020 1.360
Ge 0.000 0.000 0.000
```

---

[11]
# Ce2ErS5

An optimized crystal structure of Ce2ErS5 (GGA-PBE, the Alexandria database).

Values from the calculation:
- magnetization (μB/cell) = 4.17
- N(E_F) (states/eV per cell) = 34.21
- symmetry = Pnma
- formation energy without anion corrections (eV/atom) = -1.96

The structure in extended XYZ format:
```
32
Lattice="-2.833 -2.352 6.419 -2.271 -6.890 -3.527 10.381 -4.856 2.803" Properties=species:S:1:pos:R:3 pbc="T T T"
Ce 6.015 -8.567 3.639
Ce -0.739 -5.531 2.055
Ce 3.130 -9.057 6.452
Ce -1.874 -8.976 0.292
Ce 2.147 -5.042 -0.757
Ce 7.151 -5.122 5.403
Ce 3.282 -1.597 1.006
Ce 1.995 -12.501 4.689
Er 3.492 -5.192 3.282
Er 1.785 -8.907 2.413
Er 5.973 -12.167 6.087
Er -0.696 -1.931 -0.392
S 4.543 -4.256 0.778
S 0.734 -9.842 4.916
S 7.120 -11.277 3.609
S -1.843 -2.821 2.085
S 3.097 -10.336 0.463
S 2.180 -3.762 5.232
S 6.872 -6.604 7.763
S 1.220 -6.674 3.741
S -1.595 -7.495 -2.068
S 4.057 -7.424 1.954
S -0.635 -4.582 -0.578
S 5.912 -9.516 6.272
S 7.043 -6.017 2.608
S -1.766 -8.081 3.087
S 3.710 -10.273 3.843
S 1.567 -3.826 1.852
S 4.651 -6.636 5.358
S 0.626 -7.462 0.337
S 6.256 -9.525 0.742
S -0.979 -4.574 4.953
```

---

[12]
# LuZrTe

An optimized crystal structure of LuZrTe (GGA-PBE, the Alexandria database).

Values from the calculation:
- magnetization (μB/cell) = 0.00
- E above lowest polymorph (eV per formula unit) = 0.88
- N(E_F) (states/eV per cell) = 2.77
- symmetry = P-6m2
- formation energy without anion corrections (eV/atom) = -0.31

The structure in extended XYZ format:
```
3
Lattice="3.729 0.000 0.000 0.000 4.941 0.000 0.000 -2.471 4.279" Properties=species:S:1:pos:R:3 pbc="T T T"
Lu 3.727 0.000 0.000
Te 1.866 2.471 1.426
Zr 1.863 0.000 2.853
```

---

[13]
# La2ZnRhN

An optimized crystal structure of La2ZnRhN (GGA-PBE, the Alexandria database).

Values from the calculation:
- magnetization (μB/cell) = 0.01
- N(E_F) (states/eV per cell) = 4.66
- symmetry = P4/mmm
- formation energy without anion corrections (eV/atom) = -0.65

The structure in extended XYZ format:
```
5
Lattice="5.217 0.000 0.000 0.000 5.217 0.000 0.000 0.000 3.951" Properties=species:S:1:pos:R:3 pbc="T T T"
Zn 2.608 2.608 1.976
N 0.000 0.000 0.000
Rh 0.000 0.000 1.976
La 0.000 2.608 0.000
La 2.608 0.000 0.000
```

---

[14]
# MnIn2Co

An optimized crystal structure of MnIn2Co (GGA-PBE, the Alexandria database).

Values from the calculation:
- magnetization (μB/cell) = 4.17
- formation enthalpy at 0 K (eV/atom) = 0.35
- N(E_F) (states/eV per cell) = 4.20
- symmetry = R-3m

The structure in extended XYZ format:
```
4
Lattice="-4.908 -5.925 -4.122 -2.510 -5.773 -6.046 -2.384 -7.599 -3.572" Properties=species:S:1:pos:R:3 pbc="T T T"
Co -7.352 -14.473 -10.305
In -0.053 -0.103 -0.074
In -4.849 -9.545 -6.796
Mn -2.451 -4.824 -3.435
```

---

[15]
# Sr2BiH

An optimized crystal structure of Sr2BiH (GGA-PBE, the Alexandria database).

Values from the calculation:
- magnetization (μB/cell) = 0.00
- E above lowest polymorph (eV per formula unit) = 0.28
- N(E_F) (states/eV per cell) = 0.00
- symmetry = I-42d

The structure in extended XYZ format:
```
8
Lattice="-4.720 -5.477 -2.733 -0.239 -3.283 6.994 -5.690 -2.094 3.094" Properties=species:S:1:pos:R:3 pbc="T T T"
Sr -4.005 -3.896 0.170
Sr -2.560 -3.721 4.573
Sr -6.148 -5.132 4.507
Sr -8.587 -8.959 5.459
Bi 0.000 0.000 0.000
Bi -6.445 -5.976 1.246
H -2.479 -4.380 2.130
H -4.205 -4.879 6.109
```

---

[16]
# Ta2CrPt

An optimized crystal structure of Ta2CrPt (GGA-PBE, the Alexandria database).

Values from the calculation:
- magnetization (μB/cell) = 0.00
- formation enthalpy at 0 K (eV/atom) = -0.18
- N(E_F) (states/eV per cell) = 3.23
- symmetry = P2/m

The structure in extended XYZ format:
```
4
Lattice="-2.029 -3.326 0.262 0.726 -0.650 -2.631 5.293 -3.226 0.026" Properties=species:S:1:pos:R:3 pbc="T T T"
Cr 0.490 -2.632 -0.520
Pt 3.500 -4.570 -1.823
Ta 0.117 -0.084 -0.163
Ta 2.893 -1.854 -1.140
```

---

[17]
# TbPuMgSc

An optimized crystal structure of TbPuMgSc (GGA-PBE, the Alexandria database).

Values from the calculation:
- magnetization (μB/cell) = 6.11
- formation enthalpy at 0 K (eV/atom) = 0.15
- N(E_F) (states/eV per cell) = 8.05
- symmetry = F-43m

The structure in extended XYZ format:
```
4
Lattice="5.345 0.000 0.000 2.673 4.629 0.000 2.673 1.543 4.364" Properties=species:S:1:pos:R:3 pbc="T T T"
Sc 0.000 0.000 0.000
Mg 5.345 3.086 2.182
Tb 2.673 1.543 1.091
Pu 8.018 4.629 3.273
```

---

[18]
# Ac4Hg3Pb

An optimized crystal structure of Ac4Hg3Pb (GGA-PBE, the Alexandria database).

Values from the calculation:
- magnetization (μB/cell) = 0.33
- formation enthalpy at 0 K (eV/atom) = -0.47
- E above lowest polymorph (eV per formula unit) = 0.00
- N(E_F) (states/eV per cell) = 10.82
- symmetry = I4/mmm

The structure in extended XYZ format:
```
8
Lattice="5.497 -0.001 -1.484 -0.396 5.489 -1.463 -0.447 -0.519 9.271" Properties=species:S:1:pos:R:3 pbc="T T T"
Pb 2.749 0.000 -0.742
Ac 1.570 1.661 5.817
Ac 3.085 3.308 0.506
Ac 0.534 0.563 1.980
Ac 4.120 4.406 4.343
Hg -0.198 2.745 -0.732
Hg 3.815 1.128 3.208
Hg 0.840 3.841 3.115
```

---

[19]
# AcCeSbTe

An optimized crystal structure of AcCeSbTe (GGA-PBE, the Alexandria database).

Values from the calculation:
- magnetization (μB/cell) = 1.86
- E above lowest polymorph (eV per formula unit) = 0.00
- N(E_F) (states/eV per cell) = 7.17
- symmetry = F-43m
- formation energy without anion corrections (eV/atom) = -1.10

The structure in extended XYZ format:
```
4
Lattice="-3.950 -3.985 -0.524 1.491 -5.428 -0.266 -1.118 -3.444 4.318" Properties=species:S:1:pos:R:3 pbc="T T T"
Sb -0.894 -3.214 0.882
Ac -1.789 -6.429 1.764
Te -2.683 -9.643 2.647
Ce 0.000 0.000 0.000
```

---

[20]
# DyMn4

An optimized crystal structure of DyMn4 (GGA-PBE, the Alexandria database).

Values from the calculation:
- magnetization (μB/cell) = 14.39
- formation enthalpy at 0 K (eV/atom) = 1.74
- N(E_F) (states/eV per cell) = 4.91
- symmetry = Pm-3m

The structure in extended XYZ format:
```
5
Lattice="-2.034 -3.470 2.696 3.420 0.615 3.372 -2.759 3.321 2.192" Properties=species:S:1:pos:R:3 pbc="T T T"
Mn 0.000 0.000 0.000
Mn -2.397 -0.074 2.444
Mn 0.330 1.968 2.782
Mn 0.693 -1.427 3.034
Dy -0.687 0.233 4.130
```